Below is a relaxed Ac4Eu2Ni crystal, with properties calculated at the PBE level.

SG: I4/mmm
total moment: 31.481 Bohr magnetons per cell
calculated volume: 44.14 Å³/atom
total energy: -5.982 eV/atom

Unit cell a=5.683 b=5.683 c=19.139 alpha=90.00 beta=90.00 gamma=90.00
Positions (direct):
Ac 0.000 0.000 0.156
Ac 0.000 0.000 0.844
Ac 0.000 0.500 0.000
Ac 0.000 0.500 0.500
Ac 0.500 0.000 0.000
Ac 0.500 0.000 0.500
Ac 0.500 0.500 0.344
Ac 0.500 0.500 0.656
Eu 0.000 0.000 0.352
Eu 0.000 0.000 0.648
Eu 0.500 0.500 0.148
Eu 0.500 0.500 0.852
Ni 0.000 0.000 0.000
Ni 0.500 0.500 0.500

Below is a relaxed AcEuNi crystal, with properties calculated at the PBE level.

excess energy over the best structure of this formula in the dataset: 88 meV per atom
SG: F-43m
total moment: 29.508 Bohr magnetons per cell
calculated volume: 31.00 Å³/atom
total energy: -6.748 eV/atom

Unit cell a=7.192 b=7.192 c=7.192 alpha=90.00 beta=90.00 gamma=90.00
Positions (direct):
Ac 0.000 0.000 0.000
Ac 0.000 0.500 0.500
Ac 0.500 0.000 0.500
Ac 0.500 0.500 0.000
Eu 0.000 0.000 0.500
Eu 0.000 0.500 0.000
Eu 0.500 0.000 0.000
Eu 0.500 0.500 0.500
Ni 0.250 0.250 0.250
Ni 0.250 0.750 0.750
Ni 0.750 0.250 0.750
Ni 0.750 0.750 0.250

Below is a relaxed AcEuNiP crystal, with properties calculated at the PBE level.

SG: F-43m
total moment: 28.012 Bohr magnetons per cell
calculated volume: 24.24 Å³/atom
total energy: -6.955 eV/atom

Unit cell a=7.293 b=7.293 c=7.293 alpha=90.00 beta=90.00 gamma=90.00
Positions (direct):
Ac 0.000 0.000 0.000
Ac 0.000 0.500 0.500
Ac 0.500 0.000 0.500
Ac 0.500 0.500 0.000
Eu 0.000 0.000 0.500
Eu 0.000 0.500 0.000
Eu 0.500 0.000 0.000
Eu 0.500 0.500 0.500
Ni 0.250 0.250 0.750
Ni 0.250 0.750 0.250
Ni 0.750 0.250 0.250
Ni 0.750 0.750 0.750
P 0.250 0.250 0.250
P 0.250 0.750 0.750
P 0.750 0.250 0.750
P 0.750 0.750 0.250

Below is a relaxed AcEuNiPb crystal, with properties calculated at the PBE level.

SG: F-43m
total moment: 25.614 Bohr magnetons per cell
calculated volume: 29.69 Å³/atom
total energy: -6.161 eV/atom

Unit cell a=7.802 b=7.802 c=7.802 alpha=90.00 beta=90.00 gamma=90.00
Positions (direct):
Ac 0.000 0.000 0.000
Ac 0.000 0.500 0.500
Ac 0.500 0.000 0.500
Ac 0.500 0.500 0.000
Eu 0.000 0.000 0.500
Eu 0.000 0.500 0.000
Eu 0.500 0.000 0.000
Eu 0.500 0.500 0.500
Ni 0.250 0.250 0.750
Ni 0.250 0.750 0.250
Ni 0.750 0.250 0.250
Ni 0.750 0.750 0.750
Pb 0.250 0.250 0.250
Pb 0.250 0.750 0.750
Pb 0.750 0.250 0.750
Pb 0.750 0.750 0.250

Below is a relaxed AcEuNiPd crystal, with properties calculated at the PBE level.

SG: F-43m
total moment: 28.535 Bohr magnetons per cell
calculated volume: 24.61 Å³/atom
total energy: -6.733 eV/atom

Unit cell a=7.329 b=7.329 c=7.329 alpha=90.00 beta=90.00 gamma=90.00
Positions (direct):
Ac 0.000 0.000 0.000
Ac 0.000 0.500 0.500
Ac 0.500 0.000 0.500
Ac 0.500 0.500 0.000
Eu 0.000 0.000 0.500
Eu 0.000 0.500 0.000
Eu 0.500 0.000 0.000
Eu 0.500 0.500 0.500
Ni 0.250 0.250 0.250
Ni 0.250 0.750 0.750
Ni 0.750 0.250 0.750
Ni 0.750 0.750 0.250
Pd 0.250 0.250 0.750
Pd 0.250 0.750 0.250
Pd 0.750 0.250 0.250
Pd 0.750 0.750 0.750

Below is a relaxed AcEuNiRh crystal, with properties calculated at the PBE level.

SG: F-43m
total moment: 26.781 Bohr magnetons per cell
calculated volume: 23.50 Å³/atom
total energy: -7.163 eV/atom

Unit cell a=7.218 b=7.218 c=7.218 alpha=90.00 beta=90.00 gamma=90.00
Positions (direct):
Ac 0.000 0.000 0.000
Ac 0.000 0.500 0.500
Ac 0.500 0.000 0.500
Ac 0.500 0.500 0.000
Eu 0.000 0.000 0.500
Eu 0.000 0.500 0.000
Eu 0.500 0.000 0.000
Eu 0.500 0.500 0.500
Ni 0.250 0.250 0.250
Ni 0.250 0.750 0.750
Ni 0.750 0.250 0.750
Ni 0.750 0.750 0.250
Rh 0.250 0.250 0.750
Rh 0.250 0.750 0.250
Rh 0.750 0.250 0.250
Rh 0.750 0.750 0.750

Below is a relaxed AcEuSiNi crystal, with properties calculated at the PBE level.

SG: F-43m
total moment: 25.787 Bohr magnetons per cell
calculated volume: 25.27 Å³/atom
total energy: -6.614 eV/atom

Unit cell a=7.395 b=7.395 c=7.395 alpha=90.00 beta=90.00 gamma=90.00
Positions (direct):
Ac 0.000 0.000 0.000
Ac 0.000 0.500 0.500
Ac 0.500 0.000 0.500
Ac 0.500 0.500 0.000
Eu 0.000 0.000 0.500
Eu 0.000 0.500 0.000
Eu 0.500 0.000 0.000
Eu 0.500 0.500 0.500
Si 0.250 0.250 0.750
Si 0.250 0.750 0.250
Si 0.750 0.250 0.250
Si 0.750 0.750 0.750
Ni 0.250 0.250 0.250
Ni 0.250 0.750 0.750
Ni 0.750 0.250 0.750
Ni 0.750 0.750 0.250

Below is a relaxed AcEuZnNi crystal, with properties calculated at the PBE level.

SG: F-43m
total moment: 27.871 Bohr magnetons per cell
calculated volume: 25.73 Å³/atom
total energy: -5.506 eV/atom

Unit cell a=7.439 b=7.439 c=7.439 alpha=90.00 beta=90.00 gamma=90.00
Positions (direct):
Ac 0.000 0.000 0.000
Ac 0.000 0.500 0.500
Ac 0.500 0.000 0.500
Ac 0.500 0.500 0.000
Eu 0.000 0.000 0.500
Eu 0.000 0.500 0.000
Eu 0.500 0.000 0.000
Eu 0.500 0.500 0.500
Zn 0.250 0.250 0.750
Zn 0.250 0.750 0.250
Zn 0.750 0.250 0.250
Zn 0.750 0.750 0.750
Ni 0.250 0.250 0.250
Ni 0.250 0.750 0.750
Ni 0.750 0.250 0.750
Ni 0.750 0.750 0.250

Below is a relaxed AcEu2O crystal, with properties calculated at the PBE level.

SG: P4/mmm
total moment: 14.538 Bohr magnetons per cell
calculated volume: 28.52 Å³/atom
total energy: -8.252 eV/atom

Unit cell a=3.418 b=3.418 c=9.765 alpha=90.00 beta=90.00 gamma=90.00
Positions (direct):
Ac 0.000 0.000 0.000
Eu 0.500 0.500 0.346
Eu 0.500 0.500 0.654
O 0.000 0.000 0.500

Below is a relaxed AcEuO2 crystal, with properties calculated at the PBE level.

excess energy over the best structure of this formula in the dataset: 540 meV per atom
SG: P4/mmm
total moment: 7.378 Bohr magnetons per cell
calculated volume: 16.50 Å³/atom
total energy: -8.199 eV/atom

Unit cell a=4.520 b=4.520 c=3.231 alpha=90.00 beta=90.00 gamma=90.00
Positions (direct):
Ac 0.000 0.000 0.000
Eu 0.500 0.500 0.000
O 0.000 0.500 0.500
O 0.500 0.000 0.500

Below is a relaxed AcEuO2 crystal, with properties calculated at the PBE level.

excess energy over the best structure of this formula in the dataset: 0 meV per atom
SG: R-3m
total moment: 20.636 Bohr magnetons per cell
calculated volume: 17.89 Å³/atom
total energy: -8.739 eV/atom

Unit cell a=3.683 b=3.683 c=18.268 alpha=90.00 beta=90.00 gamma=120.00
Positions (direct):
Ac 0.000 0.000 0.000
Ac 0.333 0.667 0.667
Ac 0.667 0.333 0.333
Eu 0.000 0.000 0.500
Eu 0.333 0.667 0.167
Eu 0.667 0.333 0.833
O 0.000 0.000 0.245
O 0.000 0.000 0.755
O 0.333 0.667 0.422
O 0.333 0.667 0.911
O 0.667 0.333 0.089
O 0.667 0.333 0.578

Below is a relaxed AcEuO crystal, with properties calculated at the PBE level.

SG: P3m1
total moment: 8.130 Bohr magnetons per cell
calculated volume: 27.39 Å³/atom
total energy: -8.056 eV/atom

Unit cell a=3.832 b=3.832 c=6.461 alpha=90.00 beta=90.00 gamma=120.00
Positions (direct):
Ac 0.000 0.000 0.000
Eu 0.667 0.333 0.553
O 0.333 0.667 0.755

Below is a relaxed Ac4Eu2O crystal, with properties calculated at the PBE level.

SG: I4/mmm
total moment: 30.255 Bohr magnetons per cell
calculated volume: 39.22 Å³/atom
total energy: -6.574 eV/atom

Unit cell a=5.403 b=5.403 c=18.807 alpha=90.00 beta=90.00 gamma=90.00
Positions (direct):
Ac 0.000 0.000 0.139
Ac 0.000 0.000 0.861
Ac 0.000 0.500 0.000
Ac 0.000 0.500 0.500
Ac 0.500 0.000 0.000
Ac 0.500 0.000 0.500
Ac 0.500 0.500 0.361
Ac 0.500 0.500 0.639
Eu 0.000 0.000 0.343
Eu 0.000 0.000 0.657
Eu 0.500 0.500 0.157
Eu 0.500 0.500 0.843
O 0.000 0.000 0.000
O 0.500 0.500 0.500

Below is a relaxed AcEuOs4 crystal, with properties calculated at the PBE level.

SG: F-43m
total moment: 5.228 Bohr magnetons per cell
calculated volume: 19.61 Å³/atom
total energy: -9.711 eV/atom

Unit cell a=5.500 b=5.500 c=5.500 alpha=60.00 beta=60.00 gamma=60.00
Positions (direct):
Ac 0.000 0.000 0.000
Eu 0.750 0.750 0.750
Os 0.376 0.376 0.376
Os 0.376 0.376 0.873
Os 0.376 0.873 0.376
Os 0.873 0.376 0.376

Below is a relaxed Ac4Eu2Os crystal, with properties calculated at the PBE level.

SG: I4/mmm
total moment: 30.391 Bohr magnetons per cell
calculated volume: 47.71 Å³/atom
total energy: -6.721 eV/atom

Unit cell a=5.870 b=5.870 c=19.388 alpha=90.00 beta=90.00 gamma=90.00
Positions (direct):
Ac 0.000 0.000 0.149
Ac 0.000 0.000 0.851
Ac 0.000 0.500 0.000
Ac 0.000 0.500 0.500
Ac 0.500 0.000 0.000
Ac 0.500 0.000 0.500
Ac 0.500 0.500 0.351
Ac 0.500 0.500 0.649
Eu 0.000 0.000 0.349
Eu 0.000 0.000 0.651
Eu 0.500 0.500 0.151
Eu 0.500 0.500 0.849
Os 0.000 0.000 0.000
Os 0.500 0.500 0.500